# 1
TbNd6Tm12 | PBE | relaxed

The structure in POSCAR format:
```
TbNd6Tm12
1.0
8.598 -0.153 -1.182
-1.334 8.495 -1.182
-0.133 -0.153 8.678
Tb Nd Tm
1 6 12
Direct
0.000 0.000 0.000 Tb
0.655 0.099 0.099 Nd
0.901 0.901 0.345 Nd
0.099 0.655 0.099 Nd
0.345 0.901 0.901 Nd
0.901 0.345 0.901 Nd
0.099 0.099 0.655 Nd
0.355 0.355 0.081 Tm
0.355 0.081 0.355 Tm
0.244 0.500 0.756 Tm
0.919 0.645 0.645 Tm
0.500 0.756 0.244 Tm
0.645 0.919 0.645 Tm
0.244 0.756 0.500 Tm
0.756 0.500 0.244 Tm
0.756 0.244 0.500 Tm
0.081 0.355 0.355 Tm
0.500 0.244 0.756 Tm
0.645 0.645 0.919 Tm
```

Results
The calculation puts the energy of formation at 5.11 kcal/mol of atoms. As for the crystal system: trigonal. The calculation puts the calculated density at 8.1 Mg/m³. For the density of states at the Fermi level, the calculation gives 1.628 states/eV/atom.

# 2
BaRe2Cl | PBE | relaxed

The structure in POSCAR format:
```
BaRe2Cl
1.0
-1.291 0.854 -2.602
4.227 -2.918 -3.054
-3.282 -4.807 0.050
Re Ba Cl
2 1 1
Direct
0.000 0.000 0.061 Re
0.000 0.000 0.439 Re
0.500 0.500 0.250 Ba
0.500 0.500 0.750 Cl
```

Results
As for the crystal system: orthorhombic. The uncorrected formation energy comes out at 1058 meV per atom. The calculation puts the calculated density at 8.6 Mg/m³. For the density of states at the Fermi level, the calculation gives 1.153 states/eV/atom.